(1)
Entry from Alexandria via LeMat-Bulk: crystalline Cs2C2N3 at its relaxed geometry (PBE).

CIF file:
```
data_Cs2C2N3
_cell_length_a 6.811
_cell_length_b 9.105
_cell_length_c 8.597
_cell_angle_alpha 149.07
_cell_angle_beta 113.34
_cell_angle_gamma 90.00
_symmetry_space_group_name_H-M 'P 1'
_symmetry_Int_Tables_number 1
_symmetry_space_group_name_Hall 'P 1'
loop_
_atom_site_label
_atom_site_type_symbol
_atom_site_fract_x
_atom_site_fract_y
_atom_site_fract_z
Cs1 Cs 0.604 0.912 0.208
N1 N 0.903 0.106 0.806
C1 C 0.005 0.868 0.011
N2 N 0.000 0.000 0.000
C2 C 0.995 0.132 0.989
Cs2 Cs 0.396 0.088 0.792
N3 N 0.097 0.894 0.194
```

Results
As for the raw formation energy: -0.01 eV/atom. Its total energy is -6.4527 eV per atom. As for the space-group type: C2/m (12).



(2)
Entry from Alexandria via LeMat-Bulk: crystalline CsCN4 at its relaxed geometry (PBE).

CIF file:
```
data_CsCN4
_cell_length_a 5.539
_cell_length_b 5.539
_cell_length_c 6.114
_cell_angle_alpha 75.36
_cell_angle_beta 75.36
_cell_angle_gamma 86.45
_symmetry_space_group_name_H-M 'P 1'
_symmetry_Int_Tables_number 1
_symmetry_space_group_name_Hall 'P 1'
loop_
_atom_site_label
_atom_site_type_symbol
_atom_site_fract_x
_atom_site_fract_y
_atom_site_fract_z
Cs1 Cs 0.500 0.500 0.500
N1 N 0.926 0.926 0.530
C1 C 0.000 0.000 0.000
N2 N 0.837 0.837 0.080
N3 N 0.163 0.163 0.920
N4 N 0.074 0.074 0.470
```

Results
As for the raw formation energy: 0.12 eV/atom. Its total energy is -7.1064 eV per atom. As for the space-group type: C2/m (12).



(3)
Entry from Alexandria via LeMat-Bulk: crystalline Cs3CN2 at its relaxed geometry (PBE).

CIF file:
```
data_Cs3CN2
_cell_length_a 10.383
_cell_length_b 10.383
_cell_length_c 10.383
_cell_angle_alpha 50.85
_cell_angle_beta 50.85
_cell_angle_gamma 50.85
_symmetry_space_group_name_H-M 'P 1'
_symmetry_Int_Tables_number 1
_symmetry_space_group_name_Hall 'P 1'
loop_
_atom_site_label
_atom_site_type_symbol
_atom_site_fract_x
_atom_site_fract_y
_atom_site_fract_z
N1 N 0.546 0.546 0.546
C1 C 0.000 0.000 0.000
N2 N 0.954 0.954 0.954
Cs1 Cs 0.621 0.250 0.879
Cs2 Cs 0.879 0.621 0.250
N3 N 0.454 0.454 0.454
Cs3 Cs 0.379 0.750 0.121
Cs4 Cs 0.121 0.379 0.750
Cs5 Cs 0.250 0.879 0.621
C2 C 0.500 0.500 0.500
Cs6 Cs 0.750 0.121 0.379
N4 N 0.046 0.046 0.046
```

Results
As for the raw formation energy: -0.31 eV/atom. Its total energy is -5.0451 eV per atom. As for the space-group type: R-3c (167).



(4)
Entry from Alexandria via LeMat-Bulk: crystalline CsCN2 at its relaxed geometry (PBE).

CIF file:
```
data_CsCN2
_cell_length_a 3.534
_cell_length_b 6.823
_cell_length_c 12.984
_cell_angle_alpha 90.00
_cell_angle_beta 101.38
_cell_angle_gamma 90.00
_symmetry_space_group_name_H-M 'P 1'
_symmetry_Int_Tables_number 1
_symmetry_space_group_name_Hall 'P 1'
loop_
_atom_site_label
_atom_site_type_symbol
_atom_site_fract_x
_atom_site_fract_y
_atom_site_fract_z
N1 N 0.614 0.254 0.412
N2 N 0.386 0.746 0.588
N3 N 0.238 0.300 0.384
N4 N 0.386 0.754 0.088
C1 C 0.100 0.797 0.637
C2 C 0.900 0.203 0.363
Cs1 Cs 0.741 0.792 0.872
Cs2 Cs 0.741 0.708 0.372
C3 C 0.100 0.703 0.137
Cs3 Cs 0.259 0.292 0.628
N5 N 0.614 0.246 0.912
N6 N 0.762 0.700 0.616
Cs4 Cs 0.259 0.208 0.128
N7 N 0.238 0.200 0.884
N8 N 0.762 0.800 0.116
C4 C 0.900 0.297 0.863
```

Results
As for the raw formation energy: 0.52 eV/atom. For the energy relative to the lowest polymorph listed for this composition, the calculation gives 472 meV/atom. Its total energy is -6.1624 eV per atom. As for the space-group type: P2_1/c (14).



(5)
Entry from Alexandria via LeMat-Bulk: crystalline CsNaCN2 at its relaxed geometry (PBE).

CIF file:
```
data_CsNaCN2
_cell_length_a 4.572
_cell_length_b 6.323
_cell_length_c 7.131
_cell_angle_alpha 103.48
_cell_angle_beta 90.00
_cell_angle_gamma 90.00
_symmetry_space_group_name_H-M 'P 1'
_symmetry_Int_Tables_number 1
_symmetry_space_group_name_Hall 'P 1'
loop_
_atom_site_label
_atom_site_type_symbol
_atom_site_fract_x
_atom_site_fract_y
_atom_site_fract_z
N1 N 0.817 0.150 0.518
C1 C 0.000 0.000 0.000
Na1 Na 0.530 0.000 0.750
Cs1 Cs 0.761 0.500 0.250
N2 N 0.817 0.850 0.982
N3 N 0.183 0.150 0.018
C2 C 0.000 0.000 0.500
Na2 Na 0.470 0.000 0.250
Cs2 Cs 0.239 0.500 0.750
N4 N 0.183 0.850 0.482
```

Results
As for the raw formation energy: -0.41 eV/atom. Its total energy is -6.0177 eV per atom. As for the space-group type: P2/c (13).



(6)
Entry from Alexandria via LeMat-Bulk: crystalline Cs2NaC6N9 at its relaxed geometry (PBE).

CIF file:
```
data_Cs2NaC6N9
_cell_length_a 7.299
_cell_length_b 7.299
_cell_length_c 14.941
_cell_angle_alpha 90.00
_cell_angle_beta 90.00
_cell_angle_gamma 120.00
_symmetry_space_group_name_H-M 'P 1'
_symmetry_Int_Tables_number 1
_symmetry_space_group_name_Hall 'P 1'
loop_
_atom_site_label
_atom_site_type_symbol
_atom_site_fract_x
_atom_site_fract_y
_atom_site_fract_z
C1 C 0.162 0.829 0.827
N1 N 0.788 0.110 0.098
C2 C 0.334 0.162 0.173
N2 N 0.652 0.910 0.750
N3 N 0.910 0.258 0.250
N4 N 0.322 0.212 0.098
N5 N 0.890 0.678 0.402
C3 C 0.334 0.162 0.327
Cs1 Cs 0.333 0.667 0.438
C4 C 0.666 0.838 0.827
N6 N 0.258 0.348 0.750
C5 C 0.171 0.334 0.827
Na1 Na 0.000 0.000 0.500
Cs2 Cs 0.333 0.667 0.062
N7 N 0.788 0.110 0.402
Cs3 Cs 0.667 0.333 0.562
N8 N 0.090 0.742 0.750
C6 C 0.838 0.171 0.327
Cs4 Cs 0.667 0.333 0.938
C7 C 0.162 0.829 0.673
Na2 Na 0.000 0.000 0.000
N9 N 0.212 0.890 0.598
N10 N 0.322 0.212 0.402
N11 N 0.348 0.090 0.250
C8 C 0.829 0.666 0.327
N12 N 0.890 0.678 0.098
C9 C 0.838 0.171 0.173
N13 N 0.742 0.652 0.250
N14 N 0.212 0.890 0.902
C10 C 0.171 0.334 0.673
C11 C 0.666 0.838 0.673
N15 N 0.678 0.788 0.598
C12 C 0.829 0.666 0.173
N16 N 0.110 0.322 0.598
N17 N 0.678 0.788 0.902
N18 N 0.110 0.322 0.902
```

Results
As for the raw formation energy: -0.09 eV/atom. Its total energy is -7.4945 eV per atom. As for the space-group type: P6_3/m (176).



(7)
Entry from Alexandria via LeMat-Bulk: crystalline CsNd2C2N6 at its relaxed geometry (PBE).

CIF file:
```
data_CsNd2C2N6
_cell_length_a 6.321
_cell_length_b 6.175
_cell_length_c 6.331
_cell_angle_alpha 109.21
_cell_angle_beta 90.01
_cell_angle_gamma 59.20
_symmetry_space_group_name_H-M 'P 1'
_symmetry_Int_Tables_number 1
_symmetry_space_group_name_Hall 'P 1'
loop_
_atom_site_label
_atom_site_type_symbol
_atom_site_fract_x
_atom_site_fract_y
_atom_site_fract_z
C1 C 0.840 0.320 0.246
C2 C 0.160 0.680 0.754
Nd1 Nd 0.828 0.343 0.797
Cs1 Cs 0.500 0.000 0.500
Nd2 Nd 0.172 0.657 0.203
N1 N 0.923 0.153 0.360
N2 N 0.616 0.406 0.183
N3 N 0.384 0.594 0.817
N4 N 0.077 0.847 0.640
N5 N 0.978 0.406 0.183
N6 N 0.022 0.594 0.817
```

Results
As for the raw formation energy: -0.33 eV/atom. Its total energy is -7.4903 eV per atom. As for the space-group type: C2/m (12).



(8)
Entry from Alexandria via LeMat-Bulk: crystalline CsCNO at its relaxed geometry (PBE).

CIF file:
```
data_CsCNO
_cell_length_a 6.218
_cell_length_b 6.218
_cell_length_c 6.218
_cell_angle_alpha 115.74
_cell_angle_beta 114.91
_cell_angle_gamma 98.31
_symmetry_space_group_name_H-M 'P 1'
_symmetry_Int_Tables_number 1
_symmetry_space_group_name_Hall 'P 1'
loop_
_atom_site_label
_atom_site_type_symbol
_atom_site_fract_x
_atom_site_fract_y
_atom_site_fract_z
N1 N 0.131 0.122 0.753
C1 C 0.502 0.752 0.754
Cs1 Cs 0.246 0.000 0.246
Cs2 Cs 0.746 0.500 0.246
O1 O 0.371 0.621 0.492
C2 C 0.002 0.248 0.751
N2 N 0.631 0.878 0.009
O2 O 0.871 0.379 0.750
```

Results
As for the raw formation energy: -0.99 eV/atom. Its total energy is -6.8270 eV per atom. As for the space-group type: Ima2 (46).



(9)
Entry from Alexandria via LeMat-Bulk: crystalline CsCN2O at its relaxed geometry (PBE).

CIF file:
```
data_CsCN2O
_cell_length_a 3.344
_cell_length_b 3.344
_cell_length_c 6.598
_cell_angle_alpha 90.00
_cell_angle_beta 90.00
_cell_angle_gamma 90.00
_symmetry_space_group_name_H-M 'P 1'
_symmetry_Int_Tables_number 1
_symmetry_space_group_name_Hall 'P 1'
loop_
_atom_site_label
_atom_site_type_symbol
_atom_site_fract_x
_atom_site_fract_y
_atom_site_fract_z
Cs1 Cs 0.500 0.500 0.500
O1 O 0.000 0.000 0.500
C1 C 0.000 0.000 0.000
N1 N 0.000 0.500 0.000
N2 N 0.500 0.000 0.000
```

Results
As for the raw formation energy: 1.95 eV/atom. Its total energy is -4.3901 eV per atom. As for the space-group type: P4/mmm (123).



(10)
Entry from Alexandria via LeMat-Bulk: crystalline CsCN2O at its relaxed geometry (PBE).

CIF file:
```
data_CsCN2O
_cell_length_a 4.440
_cell_length_b 4.440
_cell_length_c 4.200
_cell_angle_alpha 90.00
_cell_angle_beta 90.00
_cell_angle_gamma 90.00
_symmetry_space_group_name_H-M 'P 1'
_symmetry_Int_Tables_number 1
_symmetry_space_group_name_Hall 'P 1'
loop_
_atom_site_label
_atom_site_type_symbol
_atom_site_fract_x
_atom_site_fract_y
_atom_site_fract_z
C1 C 0.500 0.500 0.500
N1 N 0.000 0.500 0.000
N2 N 0.500 0.000 0.000
O1 O 0.000 0.000 0.500
Cs1 Cs 0.000 0.000 0.000
```

Results
As for the raw formation energy: 3.86 eV/atom. Its total energy is -2.4744 eV per atom. As for the space-group type: P4/mmm (123).



(11)
Entry from Alexandria via LeMat-Bulk: crystalline CsCNO2 at its relaxed geometry (PBE).

CIF file:
```
data_CsCNO2
_cell_length_a 4.263
_cell_length_b 4.263
_cell_length_c 4.664
_cell_angle_alpha 90.00
_cell_angle_beta 90.00
_cell_angle_gamma 90.00
_symmetry_space_group_name_H-M 'P 1'
_symmetry_Int_Tables_number 1
_symmetry_space_group_name_Hall 'P 1'
loop_
_atom_site_label
_atom_site_type_symbol
_atom_site_fract_x
_atom_site_fract_y
_atom_site_fract_z
C1 C 0.500 0.500 0.500
O1 O 0.000 0.500 0.000
N1 N 0.000 0.000 0.500
O2 O 0.500 0.000 0.000
Cs1 Cs 0.000 0.000 0.000
```

Results
As for the raw formation energy: 3.11 eV/atom. Its total energy is -2.5544 eV per atom. As for the space-group type: P4/mmm (123).



(12)
Entry from Alexandria via LeMat-Bulk: crystalline CsPa3C4N12 at its relaxed geometry (PBE).

CIF file:
```
data_CsPa3C4N12
_cell_length_a 6.695
_cell_length_b 6.695
_cell_length_c 6.695
_cell_angle_alpha 98.65
_cell_angle_beta 98.65
_cell_angle_gamma 98.65
_symmetry_space_group_name_H-M 'P 1'
_symmetry_Int_Tables_number 1
_symmetry_space_group_name_Hall 'P 1'
loop_
_atom_site_label
_atom_site_type_symbol
_atom_site_fract_x
_atom_site_fract_y
_atom_site_fract_z
Cs1 Cs 0.000 0.000 0.000
N1 N 0.983 0.550 0.784
N2 N 0.633 0.500 0.367
C1 C 0.500 0.969 0.031
N3 N 0.897 0.500 0.103
N4 N 0.216 0.450 0.017
C2 C 0.500 0.500 0.500
N5 N 0.017 0.216 0.450
C3 C 0.031 0.500 0.969
Pa1 Pa 0.000 0.540 0.460
N6 N 0.450 0.017 0.216
N7 N 0.367 0.633 0.500
N8 N 0.500 0.103 0.897
N9 N 0.784 0.983 0.550
N10 N 0.550 0.784 0.983
Pa2 Pa 0.540 0.460 0.000
N11 N 0.103 0.897 0.500
N12 N 0.500 0.367 0.633
Pa3 Pa 0.460 0.000 0.540
C4 C 0.969 0.031 0.500
```

Results
As for the raw formation energy: -0.36 eV/atom. Its total energy is -8.6675 eV per atom. As for the space-group type: R32 (155).